Entry 1:
Material: CePm9Tl2
Method: DFT, PBE
State: optimized geometry

a b c (Å): 4.9674 4.9674 15.2836
angles (deg): 90.00 90.00 90.00
Last column: nearest neighbours and their distance in Å.
Sites, in units of the cell vectors:
1 Ce 0.0000 0.0000 0.0000  12 Pm 3.51-3.60
2 Pm 0.0000 0.5000 0.1706  8 Pm 3.51-3.60, 2 Tl 3.56, 2 Ce 3.60
3 Pm 0.0000 0.5000 0.5000  4 Tl 3.51, 8 Pm 3.51-3.52
4 Pm 0.0000 0.5000 0.8294  8 Pm 3.51-3.60, 2 Tl 3.56, 2 Ce 3.60
5 Pm 0.5000 0.0000 0.1706  8 Pm 3.51-3.60, 2 Tl 3.56, 2 Ce 3.60
6 Pm 0.5000 0.0000 0.5000  4 Tl 3.51, 8 Pm 3.51-3.52
7 Pm 0.5000 0.0000 0.8294  8 Pm 3.51-3.60, 2 Tl 3.56, 2 Ce 3.60
8 Pm 0.5000 0.5000 0.0000  4 Ce 3.51, 8 Pm 3.60
9 Pm 0.5000 0.5000 0.3371  4 Tl 3.51, 8 Pm 3.52-3.56
10 Pm 0.5000 0.5000 0.6629  4 Tl 3.51, 8 Pm 3.52-3.56
11 Tl 0.0000 0.0000 0.3378  12 Pm 3.51-3.56
12 Tl 0.0000 0.0000 0.6622  12 Pm 3.51-3.56

Summary:
- calculated formation energy (meV/atom) = -103
- crystal system = tetragonal
- final energy (eV/atom) = -4.555

---

Entry 2:
Material: CePmTl2
Method: DFT, PBE
State: optimized geometry

a b c (Å): 3.7983 3.7983 30.1405
angles (deg): 90.00 90.00 120.00
Last column: nearest neighbours and their distance in Å.
Sites, in units of the cell vectors:
1 Ce 0.0000 0.0000 0.0000  6 Tl 3.35
2 Ce 0.3333 0.6667 0.6667  6 Tl 3.35
3 Ce 0.6667 0.3333 0.3333  6 Tl 3.35
4 Pm 0.0000 0.0000 0.5000  6 Tl 3.32
5 Pm 0.3333 0.6667 0.1667  6 Tl 3.32
6 Pm 0.6667 0.3333 0.8333  6 Tl 3.32
7 Tl 0.0000 0.0000 0.2493  3 Pm 3.32, 3 Ce 3.35
8 Tl 0.0000 0.0000 0.7507  3 Pm 3.32, 3 Ce 3.35
9 Tl 0.3333 0.6667 0.4174  3 Pm 3.32, 3 Ce 3.35
10 Tl 0.3333 0.6667 0.9159  3 Pm 3.32, 3 Ce 3.35
11 Tl 0.6667 0.3333 0.0841  3 Pm 3.32, 3 Ce 3.35
12 Tl 0.6667 0.3333 0.5826  3 Pm 3.32, 3 Ce 3.35

Summary:
- calculated formation energy (meV/atom) = -166
- crystal system = trigonal
- final energy (eV/atom) = -4.021
- excess energy over the best structure of this formula in the dataset (meV per atom) = 142.2

---

Entry 3:
Material: CePmTl2
Method: DFT, PBE
State: optimized geometry

a b c (Å): 5.0658 5.0658 4.5311
angles (deg): 90.00 90.00 90.00
Last column: nearest neighbours and their distance in Å.
Sites, in units of the cell vectors:
1 Ce 0.0000 0.0000 0.0000  8 Tl 3.40, 4 Pm 3.58
2 Pm 0.5000 0.5000 0.0000  8 Tl 3.40, 4 Ce 3.58
3 Tl 0.0000 0.5000 0.5000  4 Ce 3.40, 4 Pm 3.40, 4 Tl 3.58
4 Tl 0.5000 0.0000 0.5000  4 Ce 3.40, 4 Pm 3.40, 4 Tl 3.58

Summary:
- calculated formation energy (meV/atom) = -294
- crystal system = tetragonal
- final energy (eV/atom) = -4.149
- excess energy over the best structure of this formula in the dataset (meV per atom) = 14.2

---

Copy entry 2 word for word.
Material: CePmTl2
Method: DFT, PBE
State: optimized geometry

a b c (Å): 3.7983 3.7983 30.1405
angles (deg): 90.00 90.00 120.00
Last column: nearest neighbours and their distance in Å.
Sites, in units of the cell vectors:
1 Ce 0.0000 0.0000 0.0000  6 Tl 3.35
2 Ce 0.3333 0.6667 0.6667  6 Tl 3.35
3 Ce 0.6667 0.3333 0.3333  6 Tl 3.35
4 Pm 0.0000 0.0000 0.5000  6 Tl 3.32
5 Pm 0.3333 0.6667 0.1667  6 Tl 3.32
6 Pm 0.6667 0.3333 0.8333  6 Tl 3.32
7 Tl 0.0000 0.0000 0.2493  3 Pm 3.32, 3 Ce 3.35
8 Tl 0.0000 0.0000 0.7507  3 Pm 3.32, 3 Ce 3.35
9 Tl 0.3333 0.6667 0.4174  3 Pm 3.32, 3 Ce 3.35
10 Tl 0.3333 0.6667 0.9159  3 Pm 3.32, 3 Ce 3.35
11 Tl 0.6667 0.3333 0.0841  3 Pm 3.32, 3 Ce 3.35
12 Tl 0.6667 0.3333 0.5826  3 Pm 3.32, 3 Ce 3.35

Summary:
- calculated formation energy (meV/atom) = -166
- crystal system = trigonal
- final energy (eV/atom) = -4.021
- excess energy over the best structure of this formula in the dataset (meV per atom) = 142.2

---

Please write out number 3 again, unchanged.
Material: CePmTl2
Method: DFT, PBE
State: optimized geometry

a b c (Å): 5.0658 5.0658 4.5311
angles (deg): 90.00 90.00 90.00
Last column: nearest neighbours and their distance in Å.
Sites, in units of the cell vectors:
1 Ce 0.0000 0.0000 0.0000  8 Tl 3.40, 4 Pm 3.58
2 Pm 0.5000 0.5000 0.0000  8 Tl 3.40, 4 Ce 3.58
3 Tl 0.0000 0.5000 0.5000  4 Ce 3.40, 4 Pm 3.40, 4 Tl 3.58
4 Tl 0.5000 0.0000 0.5000  4 Ce 3.40, 4 Pm 3.40, 4 Tl 3.58

Summary:
- calculated formation energy (meV/atom) = -294
- crystal system = tetragonal
- final energy (eV/atom) = -4.149
- excess energy over the best structure of this formula in the dataset (meV per atom) = 14.2

---

What did the first record say?
Material: CePm9Tl2
Method: DFT, PBE
State: optimized geometry

a b c (Å): 4.9674 4.9674 15.2836
angles (deg): 90.00 90.00 90.00
Last column: nearest neighbours and their distance in Å.
Sites, in units of the cell vectors:
1 Ce 0.0000 0.0000 0.0000  12 Pm 3.51-3.60
2 Pm 0.0000 0.5000 0.1706  8 Pm 3.51-3.60, 2 Tl 3.56, 2 Ce 3.60
3 Pm 0.0000 0.5000 0.5000  4 Tl 3.51, 8 Pm 3.51-3.52
4 Pm 0.0000 0.5000 0.8294  8 Pm 3.51-3.60, 2 Tl 3.56, 2 Ce 3.60
5 Pm 0.5000 0.0000 0.1706  8 Pm 3.51-3.60, 2 Tl 3.56, 2 Ce 3.60
6 Pm 0.5000 0.0000 0.5000  4 Tl 3.51, 8 Pm 3.51-3.52
7 Pm 0.5000 0.0000 0.8294  8 Pm 3.51-3.60, 2 Tl 3.56, 2 Ce 3.60
8 Pm 0.5000 0.5000 0.0000  4 Ce 3.51, 8 Pm 3.60
9 Pm 0.5000 0.5000 0.3371  4 Tl 3.51, 8 Pm 3.52-3.56
10 Pm 0.5000 0.5000 0.6629  4 Tl 3.51, 8 Pm 3.52-3.56
11 Tl 0.0000 0.0000 0.3378  12 Pm 3.51-3.56
12 Tl 0.0000 0.0000 0.6622  12 Pm 3.51-3.56

Summary:
- calculated formation energy (meV/atom) = -103
- crystal system = tetragonal
- final energy (eV/atom) = -4.555